VASP calculation (PBE) on a relaxed LiLa2Ir crystal.

```
LiLa2Ir
1.0
-3.7650 -1.8074 0.6791
-1.1650 -3.3777 -2.2666
1.8417 -6.8137 5.2579
Li La Ir
1 2 1
Cartesian
-1.5698 -5.9619 1.7926
1.2233 -5.9114 4.2311
-1.0122 -2.6492 0.5188
-3.2737 -3.4756 -1.0368
```

Results
The value obtained for the energy is -5.56 eV/atom. Its formation energy is -0.399 eV/atom.